[1]
Computed, not measured: a geometry-optimized ZrIn2W structure at the GGA-PBE level of DFT.

Values from the calculation:
space group = I-42d (122)
uncorrected energy = -24.53 eV per formula unit
energy relative to the elements = 0.61 eV per atom

Unit cell a=7.7619 b=7.7619 c=6.2251 alpha=51.43 beta=51.43 gamma=90.00
Fractional positions:
In 0.1080 0.6250 0.2500
W 0.0000 0.0000 0.0000
In 0.8750 0.8920 0.7500
Zr 0.5000 0.5000 0.0000
W 0.7500 0.2500 0.5000
In 0.3750 0.3580 0.7500
Zr 0.2500 0.7500 0.5000
In 0.6420 0.1250 0.2500

[2]
Computed, not measured: a geometry-optimized Cs2KAs2 structure at the GGA-PBE level of DFT.

Values from the calculation:
space group = C2/c (15)
uncorrected energy = -13.91 eV per formula unit
energy relative to the elements = -0.36 eV per atom

Unit cell a=7.3748 b=7.1186 c=9.7110 alpha=99.79 beta=90.00 gamma=121.20
Site moments in Bohr magnetons follow the coordinates.
Fractional positions:
Cs 0.7942 0.2967 0.6411  0.02
K 0.9199 0.0000 0.2500  0.01
Cs 0.5025 0.2967 0.1411  0.02
As 0.3370 0.3267 0.5083  0.17
As 0.6630 0.6733 0.4917  0.17
As 0.0103 0.6733 0.9917  0.17
As 0.9897 0.3267 0.0083  0.17
Cs 0.4975 0.7033 0.8589  0.02
Cs 0.2058 0.7033 0.3589  0.02
K 0.0801 0.0000 0.7500  0.01

[3]
Computed, not measured: a geometry-optimized TbPa2Co2 structure at the GGA-PBE level of DFT.

Values from the calculation:
space group = P-1 (2)
uncorrected energy = -38.45 eV per formula unit
energy relative to the elements = -0.12 eV per atom

Unit cell a=3.6669 b=8.0704 c=8.0673 alpha=94.15 beta=76.69 gamma=76.78
Fractional positions:
Co 0.6232 0.3447 0.4117
Co 0.4122 0.3028 0.8752
Co 0.5878 0.6972 0.1248
Co 0.3768 0.6553 0.5883
Pa 0.2129 0.6678 0.9055
Pa 0.9998 0.6477 0.3521
Tb 0.6692 0.9647 0.6938
Pa 0.7871 0.3322 0.0945
Tb 0.3308 0.0353 0.3062
Pa 0.0002 0.3523 0.6479

[4]
Computed, not measured: a geometry-optimized Tb7Sm16Y6 structure at the GGA-PBE level of DFT.

Values from the calculation:
space group = Fm-3m (225)
uncorrected energy = -140.56 eV per formula unit
energy relative to the elements = 0.21 eV per atom

Unit cell a=11.2480 b=11.2480 c=11.2480 alpha=60.00 beta=60.00 gamma=60.00
Fractional positions:
Sm 0.9544 0.3485 0.3485
Tb 0.5000 0.0000 0.5000
Tb 0.5000 0.0000 0.0000
Sm 0.1241 0.1241 0.6278
Sm 0.8759 0.3722 0.8759
Tb 0.0000 0.0000 0.5000
Tb 0.0000 0.0000 0.0000
Sm 0.6515 0.6515 0.6515
Sm 0.1241 0.1241 0.1241
Y 0.2730 0.2730 0.7270
Sm 0.3485 0.3485 0.3485
Tb 0.0000 0.5000 0.0000
Sm 0.8759 0.8759 0.3722
Sm 0.3722 0.8759 0.8759
Tb 0.5000 0.5000 0.0000
Sm 0.6515 0.0456 0.6515
Sm 0.0456 0.6515 0.6515
Tb 0.0000 0.5000 0.5000
Y 0.2730 0.7270 0.2730
Y 0.7270 0.2730 0.2730
Sm 0.6278 0.1241 0.1241
Sm 0.3485 0.3485 0.9544
Sm 0.3485 0.9544 0.3485
Sm 0.1241 0.6278 0.1241
Y 0.2730 0.7270 0.7270
Y 0.7270 0.2730 0.7270
Sm 0.6515 0.6515 0.0456
Sm 0.8759 0.8759 0.8759
Y 0.7270 0.7270 0.2730

[5]
Computed, not measured: a geometry-optimized Mg2SbP2 structure at the GGA-PBE level of DFT.

Values from the calculation:
E_form (uncorrected) = -0.151 eV/atom
space group = I4/mmm (139)
uncorrected energy = -18.89 eV per formula unit

Unit cell a=4.6677 b=4.6677 c=5.7128 alpha=65.89 beta=65.89 gamma=90.00
Fractional positions:
Mg 0.7500 0.2500 0.5000
Mg 0.2500 0.7500 0.5000
P 0.6175 0.6175 0.7650
P 0.3825 0.3825 0.2350
Sb 0.0000 0.0000 0.0000

[6]
Computed, not measured: a geometry-optimized Lu2AgPb structure at the GGA-PBE level of DFT.

Values from the calculation:
space group = P4/mmm (123)
uncorrected energy = -16.91 eV per formula unit
energy relative to the elements = -0.33 eV per atom

Unit cell a=4.0458 b=4.9465 c=4.9465 alpha=90.00 beta=90.00 gamma=90.00
Site moments in Bohr magnetons follow the coordinates.
Fractional positions:
Lu 0.0000 0.5000 0.0000  0.11
Lu 0.0000 0.0000 0.5000  0.11
Pb 0.5000 0.5000 0.5000  0.00
Ag 0.5000 0.0000 0.0000  0.01

Q: Look up the uncorrected energy of the first one.
A: -24.53 eV per formula unit

Q: Which of these has the lowest uncorrected energy?
A: Tb7Sm16Y6

Please write out number 4 again, unchanged.
Computed, not measured: a geometry-optimized Tb7Sm16Y6 structure at the GGA-PBE level of DFT.

Values from the calculation:
space group = Fm-3m (225)
uncorrected energy = -140.56 eV per formula unit
energy relative to the elements = 0.21 eV per atom

Unit cell a=11.2480 b=11.2480 c=11.2480 alpha=60.00 beta=60.00 gamma=60.00
Fractional positions:
Sm 0.9544 0.3485 0.3485
Tb 0.5000 0.0000 0.5000
Tb 0.5000 0.0000 0.0000
Sm 0.1241 0.1241 0.6278
Sm 0.8759 0.3722 0.8759
Tb 0.0000 0.0000 0.5000
Tb 0.0000 0.0000 0.0000
Sm 0.6515 0.6515 0.6515
Sm 0.1241 0.1241 0.1241
Y 0.2730 0.2730 0.7270
Sm 0.3485 0.3485 0.3485
Tb 0.0000 0.5000 0.0000
Sm 0.8759 0.8759 0.3722
Sm 0.3722 0.8759 0.8759
Tb 0.5000 0.5000 0.0000
Sm 0.6515 0.0456 0.6515
Sm 0.0456 0.6515 0.6515
Tb 0.0000 0.5000 0.5000
Y 0.2730 0.7270 0.2730
Y 0.7270 0.2730 0.2730
Sm 0.6278 0.1241 0.1241
Sm 0.3485 0.3485 0.9544
Sm 0.3485 0.9544 0.3485
Sm 0.1241 0.6278 0.1241
Y 0.2730 0.7270 0.7270
Y 0.7270 0.2730 0.7270
Sm 0.6515 0.6515 0.0456
Sm 0.8759 0.8759 0.8759
Y 0.7270 0.7270 0.2730

Q: What is the uncorrected energy in the fourth record?
A: -140.56 eV per formula unit